Material: PmZrZn
Method: DFT, PBE
State: relaxed

It has space group I4mm (No. 107), with a = 3.4393 Å, b = 3.4393 Å, c = 12.0862 Å, α = 90.00°, β = 90.00° and γ = 90.00°. The inequivalent atoms are Pm at (0.0000, 0.0000, 0.0000), Zr at (0.0000, 0.0000, 0.3070) and Zn at (0.0000, 0.0000, 0.6771).

The value obtained for the formation energy is -111.2 meV/atom. As for the density of states at the Fermi level: 2.087 states/eV/f.u. The total energy comes out at -29.8 eV/cell.

Material: Pm2ZrZn3
Method: DFT, PBE
State: relaxed

It has space group P4/mmm (No. 123), with a = 3.5134 Å, b = 3.5134 Å, c = 10.8647 Å, α = 90.00°, β = 90.00° and γ = 90.00°. The inequivalent atoms are Pm at (0.0000, 0.0000, 0.1793), Zr at (0.0000, 0.0000, 0.5000), Zn at (0.5000, 0.5000, 0.0000) and Zn at (0.5000, 0.5000, 0.3604).

The value obtained for the formation energy is -262.4 meV/atom. As for the density of states at the Fermi level: 7.050 states/eV/f.u. The total energy comes out at -23.4 eV/cell.